# 1
Compound: Nd3Ga
Source: Alexandria via LeMat-Bulk
Functional: PBE
Structure: relaxed

Values from the calculation:
DOS at the Fermi energy = 1.014 states/eV/atom
space-group type = P4/mmm (123)
DFT formation energy = -0.249 eV per atom
offset from the most stable computed form = 2.0 kJ/mol of formula units

a = 3.630 Å, b = 3.630 Å, c = 9.211 Å
α = 90.00°, β = 90.00°, γ = 90.00°
Sites, in units of the cell vectors:
Nd (0.000, 0.000, 0.000)
Nd (0.500, 0.500, 0.292)
Nd (0.500, 0.500, 0.708)
Ga (0.000, 0.000, 0.500)

# 2
Compound: Th3TlFe
Source: Alexandria via LeMat-Bulk
Functional: PBE
Structure: relaxed

Values from the calculation:
DOS at the Fermi energy = 0.704 states/eV/atom
space-group type = Pm-3m (221)
DFT formation energy = -0.133 eV per atom
offset from the most stable computed form = 0.0 kJ/mol of formula units

a = 5.235 Å, b = 5.235 Å, c = 5.235 Å
α = 90.00°, β = 90.00°, γ = 90.00°
Sites, in units of the cell vectors:
Th (0.000, 0.000, 0.500)
Th (0.000, 0.500, 0.000)
Th (0.500, 0.000, 0.000)
Tl (0.500, 0.500, 0.500)
Fe (0.000, 0.000, 0.000)

# 3
Compound: LaPrGd
Source: Alexandria via LeMat-Bulk
Functional: PBE
Structure: relaxed

Values from the calculation:
DOS at the Fermi energy = 1.628 states/eV/atom
space-group type = P-6m2 (187)
DFT formation energy = 0.049 eV per atom
offset from the most stable computed form = 12.0 kJ/mol of formula units

a = 5.849 Å, b = 5.849 Å, c = 3.539 Å
α = 90.00°, β = 90.00°, γ = 120.00°
Sites, in units of the cell vectors:
La (0.000, 0.000, 0.000)
Pr (0.333, 0.667, 0.500)
Gd (0.667, 0.333, 0.000)

# 4
Compound: NaAs2Se2
Source: Alexandria via LeMat-Bulk
Functional: PBE
Structure: relaxed

Values from the calculation:
DOS at the Fermi energy = 0.241 states/eV/atom
space-group type = P4/mbm (127)
formation energy from raw total energies = -145 meV/atom
offset from the most stable computed form = 0.0 kJ/mol of formula units

a = 8.199 Å, b = 8.199 Å, c = 3.639 Å
α = 90.00°, β = 90.00°, γ = 90.00°
Sites, in units of the cell vectors:
Na (0.000, 0.000, 0.000)
Na (0.500, 0.500, 0.000)
As (0.144, 0.356, 0.000)
As (0.356, 0.856, 0.000)
As (0.644, 0.144, 0.000)
As (0.856, 0.644, 0.000)
Se (0.210, 0.710, 0.500)
Se (0.290, 0.210, 0.500)
Se (0.710, 0.790, 0.500)
Se (0.790, 0.290, 0.500)

# 5
Compound: NaLiH2
Source: Alexandria via LeMat-Bulk
Functional: PBE
Structure: relaxed

Values from the calculation:
DOS at the Fermi energy = 0.000 states/eV/atom
space-group type = Pna2_1 (33)
offset from the most stable computed form = 0.0 kJ/mol of formula units

a = 5.829 Å, b = 6.835 Å, c = 5.155 Å
α = 90.00°, β = 90.00°, γ = 90.00°
Sites, in units of the cell vectors:
Na (0.103, 0.121, 0.000)
Na (0.397, 0.621, 0.500)
Na (0.603, 0.379, 0.000)
Na (0.897, 0.879, 0.500)
Li (0.070, 0.626, 0.016)
Li (0.430, 0.126, 0.516)
Li (0.570, 0.874, 0.016)
Li (0.930, 0.374, 0.516)
H (0.042, 0.599, 0.371)
H (0.110, 0.150, 0.443)
H (0.390, 0.650, 0.943)
H (0.458, 0.099, 0.871)
H (0.542, 0.901, 0.371)
H (0.610, 0.350, 0.443)
H (0.890, 0.850, 0.943)
H (0.958, 0.401, 0.871)

# 6
Compound: TbZn2Cu2
Source: Alexandria via LeMat-Bulk
Functional: PBE
Structure: relaxed

Values from the calculation:
DOS at the Fermi energy = 0.519 states/eV/atom
space-group type = C2/m (12)
DFT formation energy = -0.250 eV per atom
offset from the most stable computed form = 0.0 kJ/mol of formula units

a = 3.939 Å, b = 3.939 Å, c = 6.199 Å
α = 108.41°, β = 108.41°, γ = 90.00°
Sites, in units of the cell vectors:
Tb (0.000, 0.000, 0.000)
Zn (0.250, 0.750, 0.500)
Zn (0.750, 0.250, 0.500)
Cu (0.390, 0.390, 0.783)
Cu (0.610, 0.610, 0.217)

# 7
Compound: MnTe3
Source: Alexandria via LeMat-Bulk
Functional: PBE
Structure: relaxed

Values from the calculation:
DOS at the Fermi energy = 0.540 states/eV/atom
space-group type = Pmmn (59)
formation energy from raw total energies = 104 meV/atom

a = 4.303 Å, b = 8.667 Å, c = 7.361 Å
α = 90.00°, β = 90.00°, γ = 90.00°
Sites, in units of the cell vectors:
Mn (0.250, 0.250, 0.199)
Mn (0.750, 0.750, 0.801)
Te (0.250, 0.531, 0.352)
Te (0.250, 0.750, 0.013)
Te (0.250, 0.969, 0.352)
Te (0.750, 0.031, 0.648)
Te (0.750, 0.250, 0.987)
Te (0.750, 0.469, 0.648)

# 8
Compound: Ba2CdP
Source: Alexandria via LeMat-Bulk
Functional: PBE
Structure: relaxed

Values from the calculation:
DOS at the Fermi energy = 0.481 states/eV/atom
space-group type = R3m (160)
DFT formation energy = -0.642 eV per atom
offset from the most stable computed form = 0.0 kJ/mol of formula units

a = 8.859 Å, b = 8.859 Å, c = 8.859 Å
α = 31.05°, β = 31.05°, γ = 31.05°
Sites, in units of the cell vectors:
Ba (0.000, 0.000, 0.000)
Ba (0.201, 0.201, 0.201)
Cd (0.436, 0.436, 0.436)
P (0.599, 0.599, 0.599)

# 9
Compound: NpAgSn2
Source: Alexandria via LeMat-Bulk
Functional: PBE
Structure: relaxed

Values from the calculation:
DOS at the Fermi energy = 2.478 states/eV/atom
space-group type = P4/mmm (123)
DFT formation energy = -0.039 eV per atom
offset from the most stable computed form = 0.0 kJ/mol of formula units

a = 4.701 Å, b = 4.701 Å, c = 4.308 Å
α = 90.00°, β = 90.00°, γ = 90.00°
Sites, in units of the cell vectors:
Np (0.000, 0.000, 0.000)
Ag (0.500, 0.500, 0.000)
Sn (0.000, 0.500, 0.500)
Sn (0.500, 0.000, 0.500)

# 10
Compound: LaDy2Rh
Source: Alexandria via LeMat-Bulk
Functional: PBE
Structure: relaxed

Values from the calculation:
DOS at the Fermi energy = 1.172 states/eV/atom
space-group type = R3m (160)
DFT formation energy = -0.369 eV per atom
offset from the most stable computed form = 52.1 kJ/mol of formula units

a = 9.463 Å, b = 9.463 Å, c = 9.463 Å
α = 23.95°, β = 23.95°, γ = 23.95°
Sites, in units of the cell vectors:
La (0.000, 0.000, 0.000)
Dy (0.225, 0.225, 0.225)
Dy (0.446, 0.446, 0.446)
Rh (0.835, 0.835, 0.835)

# 11
Compound: KAs
Source: Alexandria via LeMat-Bulk
Functional: PBE
Structure: relaxed

Values from the calculation:
DOS at the Fermi energy = 0.793 states/eV/atom
space-group type = Cm (8)
DFT formation energy = -0.247 eV per atom
offset from the most stable computed form = 41.8 kJ/mol of formula units

a = 6.295 Å, b = 6.295 Å, c = 11.098 Å
α = 120.06°, β = 120.06°, γ = 34.47°
Sites, in units of the cell vectors:
K (0.000, 0.000, 0.000)
K (0.105, 0.105, 0.720)
K (0.721, 0.721, 0.428)
As (0.370, 0.370, 0.713)
As (0.383, 0.383, 0.288)
As (0.790, 0.790, 0.122)

# 12
Compound: Rb2TlBi2Pb
Source: Alexandria via LeMat-Bulk
Functional: PBE
Structure: relaxed

Values from the calculation:
DOS at the Fermi energy = 0.451 states/eV/atom
space-group type = Ibam (72)
DFT formation energy = -0.252 eV per atom

a = 10.030 Å, b = 10.030 Å, c = 10.030 Å
α = 133.25°, β = 68.02°, γ = 133.56°
Sites, in units of the cell vectors:
Rb (0.165, 0.240, 0.405)
Rb (0.335, 0.740, 0.076)
Rb (0.665, 0.260, 0.924)
Rb (0.835, 0.760, 0.595)
Tl (0.250, 0.250, 0.000)
Tl (0.750, 0.750, 0.000)
Bi (0.101, 0.746, 0.847)
Bi (0.399, 0.246, 0.645)
Bi (0.601, 0.754, 0.355)
Bi (0.899, 0.254, 0.153)
Pb (0.250, 0.750, 0.500)
Pb (0.750, 0.250, 0.500)